Ac5SnPb2: relaxed, PBE.

Calculated values
Its formation energy is -493 meV/atom. As for the density of states at the Fermi level: 35.2 states/eV per cell.

CIF file:
```
data_Ac5SnPb2
_symmetry_space_group_name_H-M 'I 4/m c m'
_symmetry_Int_Tables_number 140
_symmetry_space_group_name_Hall '-I 4 2c'
_cell_length_a 8.9770
_cell_length_b 8.9770
_cell_length_c 15.2096
_cell_angle_alpha 90.00
_cell_angle_beta 90.00
_cell_angle_gamma 90.00
loop_
_atom_site_label
_atom_site_type_symbol
_atom_site_fract_x
_atom_site_fract_y
_atom_site_fract_z
Ac1 Ac 0.0000 0.0000 0.0000
Ac2 Ac 0.1637 0.3363 0.1505
Sn1 Sn 0.0000 0.0000 0.2500
Pb1 Pb 0.1356 0.3644 0.5000
```